{"formula": "TiVPd6", "functional": "GGA-PBE", "state": "optimized geometry", "lattice": [[5.5350, 0.0000, 0.0000], [0.0000, 5.5350, 0.0000], [0.0000, 0.0000, 3.9223]], "species": ["Ti", "V", "Pd", "Pd", "Pd", "Pd", "Pd", "Pd"], "frac_coords": [[0.0000, 0.0000, 0.0000], [0.5000, 0.5000, 0.0000], [0.0000, 0.5000, 0.0000], [0.2500, 0.2500, 0.5000], [0.2500, 0.7500, 0.5000], [0.5000, 0.0000, 0.0000], [0.7500, 0.2500, 0.5000], [0.7500, 0.7500, 0.5000]], "e_above_lowest_polymorph_mev_per_atom": 4, "magmom_total_mub_per_cell": 1.42, "dos_at_fermi_per_ev_atom": 0.7729}